1.
! LaDyScZn | the Alexandria database | PBE | optimized geometry; values from VASP
&SYSTEM
  ibrav = 0, nat = 4, ntyp = 4
/
ATOMIC_SPECIES
Zn 65.41 Zn.upf
Sc 44.96 Sc.upf
Dy 162.50 Dy.upf
La 138.91 La.upf
ATOMIC_POSITIONS angstrom
Zn 0.000 0.000 4.757
Sc 1.755 1.755 3.270
Dy 1.755 1.755 6.633
La 0.000 0.000 0.748
CELL_PARAMETERS angstrom
3.509 0.000 0.000
0.000 3.509 0.000
0.000 0.000 8.634
! **Symmetry**: P4mm (99)
! **E_form**: -141.6 meV/atom
! **Total magnetization**: 0.0000 μB/atom
! **Distance to the lowest polymorph of the same formula**: 0.000 eV per atom

2.
! CaAc4Ir3 | the Alexandria database | PBE | optimized geometry; values from VASP
&SYSTEM
  ibrav = 0, nat = 16, ntyp = 3
/
ATOMIC_SPECIES
Ac 227.00 Ac.upf
Ir 192.22 Ir.upf
Ca 40.08 Ca.upf
ATOMIC_POSITIONS angstrom
Ac 1.319 3.980 2.011
Ac 1.293 1.374 9.640
Ac 2.527 2.733 5.696
Ac 4.993 2.732 0.239
Ac -2.520 5.192 3.725
Ac -1.319 3.981 7.468
Ac 2.520 5.191 -1.732
Ac 6.226 1.374 4.183
Ir 3.758 5.408 1.006
Ir 3.784 2.532 2.981
Ir 0.001 3.950 -0.721
Ir -0.001 3.951 4.736
Ir 3.761 5.409 6.463
Ir 3.736 2.532 8.439
Ca -1.292 6.559 -0.162
Ca 1.292 6.559 5.296
CELL_PARAMETERS angstrom
7.520 0.000 0.000
-3.760 6.637 -2.819
0.000 0.001 10.914
! **Symmetry**: Cc (9)
! **E_form**: -553.0 meV/atom
! **Total magnetization**: 0.0000 μB/atom

3.
! CdIn2GaNi | the Alexandria database | PBE | optimized geometry; values from VASP
&SYSTEM
  ibrav = 0, nat = 5, ntyp = 4
/
ATOMIC_SPECIES
In 114.82 In.upf
Cd 112.41 Cd.upf
Ni 58.69 Ni.upf
Ga 69.72 Ga.upf
ATOMIC_POSITIONS angstrom
In 2.517 0.000 0.000
In 0.000 2.517 0.000
Cd 2.517 2.517 2.314
Ni 0.000 0.000 0.000
Ga 0.000 0.000 2.314
CELL_PARAMETERS angstrom
5.034 0.000 0.000
0.000 5.034 0.000
0.000 0.000 4.628
! **Symmetry**: P4/mmm (123)
! **E_form**: -16.4 meV/atom
! **Total magnetization**: 0.0000 μB/atom
! **Distance to the lowest polymorph of the same formula**: 0.000 eV per atom

4.
! La2NpSb3Pt4 | the Alexandria database | PBE | optimized geometry; values from VASP
&SYSTEM
  ibrav = 0, nat = 10, ntyp = 4
/
ATOMIC_SPECIES
Sb 121.76 Sb.upf
Pt 195.08 Pt.upf
Np 237.00 Np.upf
La 138.91 La.upf
ATOMIC_POSITIONS angstrom
Sb 2.302 0.000 9.863
Sb 0.000 2.302 1.418
Sb 0.000 0.000 5.641
Pt 2.302 0.000 7.263
Pt 2.302 2.302 0.000
Pt 0.000 0.000 0.000
Pt 0.000 2.302 4.018
Np 2.302 2.302 5.641
La 2.302 0.000 2.477
La 0.000 2.302 8.805
CELL_PARAMETERS angstrom
4.604 0.000 0.000
0.000 4.604 0.000
0.000 0.000 11.281
! **Symmetry**: P-4m2 (115)
! **Total magnetization**: 0.4181 μB/atom
! **Energy relative to the elements, uncorrected**: -0.819 eV per atom

5.
! NaAc3As | the Alexandria database | PBE | optimized geometry; values from VASP
&SYSTEM
  ibrav = 0, nat = 5, ntyp = 3
/
ATOMIC_SPECIES
Ac 227.00 Ac.upf
Na 22.99 Na.upf
As 74.92 As.upf
ATOMIC_POSITIONS angstrom
Ac 0.000 0.000 3.049
Ac 0.000 3.049 0.000
Ac 3.049 0.000 0.000
Na 3.049 3.049 3.049
As 0.000 0.000 0.000
CELL_PARAMETERS angstrom
6.098 0.000 0.000
0.000 6.098 0.000
0.000 0.000 6.098
! **Symmetry**: Pm-3m (221)
! **E_form**: -281.0 meV/atom
! **Total magnetization**: 0.0005 μB/atom

6.
! PmTiMnGe2 | the Alexandria database | PBE | optimized geometry; values from VASP
&SYSTEM
  ibrav = 0, nat = 5, ntyp = 4
/
ATOMIC_SPECIES
Ti 47.87 Ti.upf
Ge 72.64 Ge.upf
Pm 145.00 Pm.upf
Mn 54.94 Mn.upf
ATOMIC_POSITIONS angstrom
Ti 0.000 2.025 2.851
Ge 2.025 2.025 1.294
Ge 0.000 0.000 4.408
Pm 0.000 0.000 0.000
Mn 2.025 0.000 2.851
CELL_PARAMETERS angstrom
4.049 0.000 0.000
0.000 4.049 0.000
-2.025 -2.025 5.702
! **Symmetry**: I-4m2 (119)
! **E_form**: -595.2 meV/atom
! **Total magnetization**: 0.3081 μB/atom

7.
! TbSm2CdAu4 | the Alexandria database | PBE | optimized geometry; values from VASP
&SYSTEM
  ibrav = 0, nat = 8, ntyp = 4
/
ATOMIC_SPECIES
Sm 150.36 Sm.upf
Tb 158.93 Tb.upf
Au 196.97 Au.upf
Cd 112.41 Cd.upf
ATOMIC_POSITIONS angstrom
Sm 7.612 4.395 6.490
Sm 2.537 1.465 1.909
Tb 5.075 2.930 4.199
Au 2.537 1.465 5.009
Au 5.075 2.930 7.209
Au 5.075 2.930 1.190
Au 7.612 4.395 3.390
Cd 0.000 0.000 0.000
CELL_PARAMETERS angstrom
5.075 0.000 0.000
2.537 4.395 0.000
2.537 1.465 8.399
! **Symmetry**: R-3m (166)
! **E_form**: -759.8 meV/atom
! **Total magnetization**: 0.0000 μB/atom

8.
! BaPmMgSn | the Alexandria database | PBE | optimized geometry; values from VASP
&SYSTEM
  ibrav = 0, nat = 4, ntyp = 4
/
ATOMIC_SPECIES
Mg 24.30 Mg.upf
Sn 118.71 Sn.upf
Ba 137.33 Ba.upf
Pm 145.00 Pm.upf
ATOMIC_POSITIONS angstrom
Mg -6.247 -1.116 8.329
Sn -2.082 -0.372 2.776
Ba -4.164 -0.744 5.553
Pm 0.000 0.000 0.000
CELL_PARAMETERS angstrom
-1.066 1.821 5.294
-5.374 0.346 1.866
-1.888 -3.655 3.945
! **Symmetry**: F-43m (216)
! **E_form**: -308.8 meV/atom
! **Total magnetization**: 0.0000 μB/atom